Entry 1:
PmErPuSc after structural relaxation, computed with PBE. Values from VASP.

```
&SYSTEM
  ibrav = 0, nat = 4, ntyp = 4
/
ATOMIC_SPECIES
Pm 145.00 Pm.upf
Er 167.26 Er.upf
Pu 244.00 Pu.upf
Sc 44.96 Sc.upf
ATOMIC_POSITIONS crystal
Pm 0.000 0.000 0.000
Er 0.250 0.250 0.250
Pu 0.500 0.500 0.500
Sc 0.750 0.750 0.750
CELL_PARAMETERS angstrom
0.000 3.880 3.880
3.880 0.000 3.880
3.880 3.880 0.000
```

Output
**Symmetry**: F-43m
**Energy relative to the elements**: 0.189 eV per atom
**DOS at the Fermi energy**: 2.51 states/eV per atom

Entry 2:
Sm12Cr3H5 after structural relaxation, computed with PBE. Values from VASP.

```
&SYSTEM
  ibrav = 0, nat = 80, ntyp = 3
/
ATOMIC_SPECIES
Sm 150.36 Sm.upf
Cr 52.00 Cr.upf
H 1.01 H.upf
ATOMIC_POSITIONS crystal
Sm 0.020 0.210 0.116
Sm 0.020 0.310 0.904
Sm 0.094 0.710 0.690
Sm 0.094 0.884 0.404
Sm 0.096 0.616 0.406
Sm 0.096 0.980 0.690
Sm 0.116 0.020 0.210
Sm 0.116 0.596 0.906
Sm 0.190 0.210 0.594
Sm 0.190 0.480 0.596
Sm 0.210 0.116 0.020
Sm 0.210 0.594 0.190
Sm 0.290 0.310 0.906
Sm 0.290 0.480 0.384
Sm 0.310 0.904 0.020
Sm 0.310 0.906 0.290
Sm 0.384 0.290 0.480
Sm 0.384 0.594 0.904
Sm 0.404 0.094 0.884
Sm 0.404 0.810 0.520
Sm 0.406 0.096 0.616
Sm 0.406 0.810 0.790
Sm 0.480 0.384 0.290
Sm 0.480 0.596 0.190
Sm 0.520 0.404 0.810
Sm 0.520 0.616 0.710
Sm 0.594 0.190 0.210
Sm 0.594 0.904 0.384
Sm 0.596 0.190 0.480
Sm 0.596 0.906 0.116
Sm 0.616 0.406 0.096
Sm 0.616 0.710 0.520
Sm 0.690 0.094 0.710
Sm 0.690 0.096 0.980
Sm 0.710 0.520 0.616
Sm 0.710 0.690 0.094
Sm 0.790 0.406 0.810
Sm 0.790 0.884 0.980
Sm 0.810 0.520 0.404
Sm 0.810 0.790 0.406
Sm 0.884 0.404 0.094
Sm 0.884 0.980 0.790
Sm 0.904 0.020 0.310
Sm 0.904 0.384 0.594
Sm 0.906 0.116 0.596
Sm 0.906 0.290 0.310
Sm 0.980 0.690 0.096
Sm 0.980 0.790 0.884
Cr 0.125 0.250 0.375
Cr 0.125 0.375 0.750
Cr 0.250 0.375 0.125
Cr 0.250 0.875 0.625
Cr 0.375 0.125 0.250
Cr 0.375 0.750 0.125
Cr 0.625 0.250 0.875
Cr 0.625 0.875 0.750
Cr 0.750 0.125 0.375
Cr 0.750 0.625 0.875
Cr 0.875 0.625 0.250
Cr 0.875 0.750 0.625
H 0.000 0.000 0.000
H 0.000 0.000 0.500
H 0.000 0.500 0.000
H 0.000 0.500 0.500
H 0.125 0.750 0.875
H 0.125 0.875 0.250
H 0.250 0.125 0.875
H 0.250 0.625 0.375
H 0.375 0.250 0.625
H 0.375 0.625 0.750
H 0.500 0.000 0.000
H 0.500 0.000 0.500
H 0.500 0.500 0.000
H 0.500 0.500 0.500
H 0.625 0.375 0.250
H 0.625 0.750 0.375
H 0.750 0.375 0.625
H 0.750 0.875 0.125
H 0.875 0.125 0.750
H 0.875 0.250 0.125
CELL_PARAMETERS angstrom
-7.829 7.829 7.829
7.829 -7.829 7.829
7.829 7.829 -7.829
```

Output
**Symmetry**: Ia-3d
**DOS at the Fermi energy**: 0.99 states/eV per atom
**Energy**: -101.43 eV/f.u.

Entry 3:
LaMoN3 after structural relaxation, computed with PBE. Values from VASP.

```
&SYSTEM
  ibrav = 0, nat = 10, ntyp = 3
/
ATOMIC_SPECIES
La 138.91 La.upf
Mo 95.94 Mo.upf
N 14.01 N.upf
ATOMIC_POSITIONS crystal
La 0.242 0.250 0.189
La 0.758 0.750 0.811
Mo 0.145 0.250 0.669
Mo 0.855 0.750 0.331
N 0.020 0.750 0.610
N 0.041 0.250 0.867
N 0.469 0.250 0.737
N 0.531 0.750 0.263
N 0.959 0.750 0.133
N 0.980 0.250 0.390
CELL_PARAMETERS angstrom
5.836 0.000 0.000
0.000 3.890 0.000
-2.588 0.000 7.557
```

Output
**Symmetry**: P2_1/m
**ΔE_f (raw)**: -0.89 eV/atom
**DOS at the Fermi energy**: 0.00 states/eV per atom

Entry 4:
Mg14GaFe after structural relaxation, computed with PBE. Values from VASP.

```
&SYSTEM
  ibrav = 0, nat = 16, ntyp = 3
/
ATOMIC_SPECIES
Mg 24.30 Mg.upf
Ga 69.72 Ga.upf
Fe 55.84 Fe.upf
ATOMIC_POSITIONS crystal
Mg 0.000 0.000 0.250
Mg 0.000 0.000 0.750
Mg 0.011 0.505 0.243
Mg 0.011 0.505 0.757
Mg 0.332 0.166 0.000
Mg 0.334 0.167 0.500
Mg 0.495 0.505 0.243
Mg 0.495 0.505 0.757
Mg 0.495 0.989 0.243
Mg 0.495 0.989 0.757
Mg 0.833 0.167 0.500
Mg 0.833 0.666 0.500
Mg 0.834 0.166 0.000
Mg 0.834 0.668 0.000
Ga 0.333 0.667 0.500
Fe 0.333 0.667 0.000
CELL_PARAMETERS angstrom
6.224 0.000 0.000
-3.112 5.390 0.000
0.000 0.000 10.067
```

Output
**Symmetry**: P-6m2
**Energy relative to the elements**: 0.051 eV per atom
**DOS at the Fermi energy**: 0.55 states/eV per atom

Entry 5:
KYAsO4 after structural relaxation, computed with PBE. Values from VASP.

```
&SYSTEM
  ibrav = 0, nat = 14, ntyp = 4
/
ATOMIC_SPECIES
K 39.10 K.upf
Y 88.91 Y.upf
As 74.92 As.upf
O 16.00 O.upf
ATOMIC_POSITIONS crystal
K 0.500 0.000 0.000
K 0.500 0.500 0.500
Y 0.000 0.000 0.000
Y 0.500 0.000 0.500
As 0.112 0.362 0.750
As 0.888 0.638 0.250
O 0.204 0.250 0.954
O 0.204 0.750 0.454
O 0.231 0.215 0.484
O 0.231 0.747 0.016
O 0.769 0.253 0.984
O 0.769 0.785 0.516
O 0.796 0.250 0.546
O 0.796 0.750 0.046
CELL_PARAMETERS angstrom
-3.236 3.486 4.735
3.236 -3.486 4.735
3.236 3.486 -4.735
```

Output
**Symmetry**: Imma
**ΔE_f (raw)**: -1.89 eV/atom
**DOS at the Fermi energy**: 0.41 states/eV per atom

Entry 6:
Pm2Sn3Pd4Au after structural relaxation, computed with PBE. Values from VASP.

```
&SYSTEM
  ibrav = 0, nat = 10, ntyp = 4
/
ATOMIC_SPECIES
Pm 145.00 Pm.upf
Sn 118.71 Sn.upf
Pd 106.42 Pd.upf
Au 196.97 Au.upf
ATOMIC_POSITIONS crystal
Pm 0.000 0.500 0.237
Pm 0.500 0.000 0.763
Sn 0.000 0.000 0.000
Sn 0.000 0.500 0.633
Sn 0.500 0.000 0.367
Pd 0.000 0.000 0.500
Pd 0.000 0.500 0.848
Pd 0.500 0.000 0.152
Pd 0.500 0.500 0.500
Au 0.500 0.500 0.000
CELL_PARAMETERS angstrom
4.248 0.000 0.000
0.000 4.248 0.000
0.000 0.000 12.102
```

Output
**Symmetry**: P-4m2
**Energy relative to the elements**: -0.709 eV per atom
**DOS at the Fermi energy**: 0.55 states/eV per atom

Entry 7:
AcPrBe2Si2 after structural relaxation, computed with PBE. Values from VASP.

```
&SYSTEM
  ibrav = 0, nat = 6, ntyp = 4
/
ATOMIC_SPECIES
Ac 227.00 Ac.upf
Pr 140.91 Pr.upf
Be 9.01 Be.upf
Si 28.09 Si.upf
ATOMIC_POSITIONS crystal
Ac 0.000 0.000 0.000
Pr 0.000 0.000 0.500
Be 0.333 0.667 0.738
Be 0.667 0.333 0.262
Si 0.333 0.667 0.263
Si 0.667 0.333 0.737
CELL_PARAMETERS angstrom
4.021 0.000 0.000
-2.010 3.482 0.000
0.000 0.000 8.938
```

Output
**Symmetry**: P-3m1
**ΔE_f (raw)**: -0.51 eV/atom
**DOS at the Fermi energy**: 0.74 states/eV per atom

Entry 8:
Na6SnHg8 after structural relaxation, computed with PBE. Values from VASP.

```
&SYSTEM
  ibrav = 0, nat = 15, ntyp = 3
/
ATOMIC_SPECIES
Na 22.99 Na.upf
Sn 118.71 Sn.upf
Hg 200.59 Hg.upf
ATOMIC_POSITIONS crystal
Na 0.000 0.215 0.053
Na 0.000 0.785 0.947
Na 0.224 0.007 0.449
Na 0.270 0.488 0.822
Na 0.730 0.512 0.178
Na 0.776 0.993 0.551
Sn 0.500 0.500 0.500
Hg 0.009 0.694 0.579
Hg 0.287 0.649 0.217
Hg 0.316 0.123 0.858
Hg 0.460 0.147 0.236
Hg 0.540 0.853 0.764
Hg 0.684 0.877 0.142
Hg 0.713 0.351 0.783
Hg 0.991 0.306 0.421
CELL_PARAMETERS angstrom
6.666 0.000 0.000
-2.353 7.866 0.000
-3.160 -3.125 7.644
```

Output
**Symmetry**: P-1
**Energy relative to the elements**: -0.205 eV per atom
**DOS at the Fermi energy**: 0.38 states/eV per atom

Entry 9:
LaReW2 after structural relaxation, computed with PBE. Values from VASP.

```
&SYSTEM
  ibrav = 0, nat = 4, ntyp = 3
/
ATOMIC_SPECIES
La 138.91 La.upf
Re 186.21 Re.upf
W 183.84 W.upf
ATOMIC_POSITIONS crystal
La 0.000 0.000 0.000
Re 0.500 0.500 0.000
W 0.000 0.500 0.500
W 0.500 0.000 0.500
CELL_PARAMETERS angstrom
2.861 -4.767 0.000
2.861 4.767 0.000
-0.903 0.000 2.687
```

Output
**Symmetry**: C2/m
**Energy relative to the elements**: 0.735 eV per atom
**Excess energy over the best structure of this formula in the dataset**: 0.303 eV/atom
**DOS at the Fermi energy**: 0.87 states/eV per atom

Entry 10:
LaHgF2 after structural relaxation, computed with PBE. Values from VASP.

```
&SYSTEM
  ibrav = 0, nat = 4, ntyp = 3
/
ATOMIC_SPECIES
La 138.91 La.upf
Hg 200.59 Hg.upf
F 19.00 F.upf
ATOMIC_POSITIONS crystal
La 0.000 0.000 0.000
Hg 0.500 0.500 0.500
F 0.376 0.376 0.376
F 0.624 0.624 0.624
CELL_PARAMETERS angstrom
1.880 1.086 9.465
-1.880 1.086 9.465
0.000 -2.171 9.465
```

Output
**Symmetry**: R-3m
**ΔE_f (raw)**: -2.44 eV/atom
**Excess energy over the best structure of this formula in the dataset**: 0.101 eV/atom
**DOS at the Fermi energy**: 0.13 states/eV per atom

Entry 11:
CaNd2Sm8 after structural relaxation, computed with PBE. Values from VASP.

```
&SYSTEM
  ibrav = 0, nat = 11, ntyp = 3
/
ATOMIC_SPECIES
Ca 40.08 Ca.upf
Nd 144.24 Nd.upf
Sm 150.36 Sm.upf
ATOMIC_POSITIONS crystal
Ca 0.000 0.000 0.000
Nd 0.297 0.297 0.000
Nd 0.703 0.703 0.000
Sm 0.156 0.858 0.298
Sm 0.158 0.658 0.500
Sm 0.307 0.500 0.807
Sm 0.440 0.142 0.298
Sm 0.560 0.858 0.702
Sm 0.693 0.500 0.193
Sm 0.842 0.342 0.500
Sm 0.844 0.142 0.702
CELL_PARAMETERS angstrom
-2.835 4.283 7.987
2.835 -4.283 7.987
2.835 4.283 -7.987
```

Output
**Symmetry**: Immm
**Energy relative to the elements**: 0.153 eV per atom
**DOS at the Fermi energy**: 1.71 states/eV per atom

Number 1: magnetic moment 5.98 μB/f.u.. Number 2: magnetic moment 8.71 μB/f.u.. Number 3: magnetic moment 0.00 μB/f.u.. Number 4: magnetic moment 2.10 μB/f.u.. Number 5: magnetic moment 0.00 μB/f.u.. Number 6: magnetic moment 0.00 μB/f.u.. Number 7: magnetic moment 0.00 μB/f.u.. Number 8: magnetic moment 0.00 μB/f.u.. Number 9: magnetic moment 0.00 μB/f.u.. Number 10: magnetic moment 0.97 μB/f.u.. Number 11: magnetic moment 0.00 μB/f.u..